# 1
Re2HgRu | PBE | optimized geometry

**Crystal system**: tetragonal

Cell lengths 3.840, 3.840, 8.569 Å; angles 90.00, 90.00, 90.00 degrees
Space group I4/mmm (No. 139)
Unique sites:
Re: 0.000 0.500 0.250 [4 per cell]
Hg: 0.000 0.000 0.000 [2 per cell]
Ru: 0.000 0.000 0.500 [2 per cell]

=====

# 2
ReHgRu2 | PBE | optimized geometry

**Crystal system**: tetragonal

Cell lengths 2.789, 2.789, 8.111 Å; angles 90.00, 90.00, 90.00 degrees
Space group P4mm (No. 99)
Unique sites:
Re: 0.000 0.000 0.000 [1 per cell]
Hg: 0.500 0.500 0.718 [1 per cell]
Ru: 0.000 0.000 0.450 [1 per cell]
Ru: 0.500 0.500 0.224 [1 per cell]

=====

# 3
Re2HgRu | PBE | optimized geometry

**Crystal system**: orthorhombic

Cell lengths 2.812, 4.068, 5.650 Å; angles 90.00, 90.00, 90.00 degrees
Space group Pmmm (No. 47)
Unique sites:
Re: 0.000 0.000 0.213 [2 per cell]
Hg: 0.500 0.500 0.500 [1 per cell]
Ru: 0.500 0.500 0.000 [1 per cell]

=====

# 4
ReHgRu2 | PBE | optimized geometry

**Crystal system**: tetragonal

Cell lengths 4.026, 4.026, 7.669 Å; angles 90.00, 90.00, 90.00 degrees
Space group I4/mmm (No. 139)
Unique sites:
Re: 0.000 0.000 0.000 [2 per cell]
Hg: 0.000 0.000 0.500 [2 per cell]
Ru: 0.000 0.500 0.250 [4 per cell]

=====

# 5
ReHg2Ru | PBE | optimized geometry

**Offset from the most stable computed form**: 0.6678 eV/atom
**Crystal system**: tetragonal

Cell lengths 4.083, 4.083, 8.489 Å; angles 90.00, 90.00, 90.00 degrees
Space group I4/mmm (No. 139)
Unique sites:
Re: 0.000 0.000 0.000 [2 per cell]
Hg: 0.000 0.500 0.250 [4 per cell]
Ru: 0.000 0.000 0.500 [2 per cell]

=====

# 6
ReHg2Ru | PBE | optimized geometry

**Offset from the most stable computed form**: 0.4997 eV/atom
**Crystal system**: monoclinic

Cell lengths 9.519, 2.935, 5.043 Å; angles 90.00, 100.60, 90.00 degrees
Space group C2/m (No. 12)
Unique sites:
Re: 0.000 0.000 0.000 [2 per cell]
Hg: 0.249 0.000 0.748 [4 per cell]
Ru: 0.000 0.500 0.500 [2 per cell]

=====

# 7
Re2HgRu | PBE | optimized geometry

**Crystal system**: orthorhombic

Cell lengths 2.924, 4.691, 9.524 Å; angles 90.00, 90.00, 90.00 degrees
Space group Cmm2 (No. 35)
Unique sites:
Re: 0.000 0.000 0.000 [2 per cell]
Re: 0.000 0.500 0.232 [2 per cell]
Hg: 0.000 0.000 0.508 [2 per cell]
Ru: 0.000 0.500 0.772 [2 per cell]

=====

# 8
Re2HgRu | PBE | optimized geometry

**Crystal system**: cubic

Cell lengths 6.350, 6.350, 6.350 Å; angles 90.00, 90.00, 90.00 degrees
Space group F-43m (No. 216)
Unique sites:
Re: 0.000 0.000 0.000 [4 per cell]
Re: 0.250 0.250 0.250 [4 per cell]
Hg: 0.000 0.000 0.500 [4 per cell]
Ru: 0.250 0.250 0.750 [4 per cell]

=====

# 9
ReHg2Ru | PBE | optimized geometry

**Offset from the most stable computed form**: 0.0518 eV/atom
**Crystal system**: trigonal

Cell lengths 2.8812, 2.8812, 30.7476 Å; angles 90.00, 90.00, 120.00 degrees
Space group R3m (No. 160, hexagonal axes)
Unique sites:
Re: 0.0000 0.0000 0.0000 [3 per cell]
Hg: 0.0000 0.0000 0.2484 [3 per cell]
Hg: 0.0000 0.0000 0.4794 [3 per cell]
Ru: 0.0000 0.0000 0.7303 [3 per cell]

=====

# 10
ReHg2Ru | PBE | optimized geometry

**Offset from the most stable computed form**: 0.7263 eV/atom
**Crystal system**: cubic

Cell lengths 6.523, 6.523, 6.523 Å; angles 90.00, 90.00, 90.00 degrees
Space group Fm-3m (No. 225)
Unique sites:
Re: 0.000 0.000 0.000 [4 per cell]
Hg: 0.250 0.250 0.250 [8 per cell]
Ru: 0.000 0.000 0.500 [4 per cell]

=====

# 11
Re2HgRu | PBE | optimized geometry

**Crystal system**: orthorhombic

Cell lengths 2.836, 4.773, 9.762 Å; angles 90.00, 90.00, 90.00 degrees
Space group Imm2 (No. 44)
Unique sites:
Re: 0.000 0.000 0.000 [2 per cell]
Re: 0.000 0.500 0.277 [2 per cell]
Hg: 0.000 0.000 0.495 [2 per cell]
Ru: 0.000 0.500 0.721 [2 per cell]

=====

# 12
ReHg2Ru | PBE | optimized geometry

**Offset from the most stable computed form**: 0.0000 eV/atom
**Crystal system**: monoclinic

Cell lengths 2.911, 2.911, 8.609 Å; angles 90.00, 92.42, 90.00 degrees
Space group Pm (No. 6)
Unique sites:
Re: 0.000 0.000 0.000 [1 per cell]
Hg: 0.060 0.000 0.434 [1 per cell]
Hg: 0.465 0.500 0.744 [1 per cell]
Ru: 0.523 0.500 0.180 [1 per cell]

=====

# 13
ReHg2Ru | PBE | optimized geometry

**Offset from the most stable computed form**: 0.5788 eV/atom
**Crystal system**: tetragonal

Cell lengths 4.174, 4.174, 7.937 Å; angles 90.00, 90.00, 90.00 degrees
Space group I-4m2 (No. 119)
Unique sites:
Re: 0.000 0.000 0.000 [2 per cell]
Hg: 0.000 0.000 0.500 [2 per cell]
Hg: 0.000 0.500 0.250 [2 per cell]
Ru: 0.000 0.500 0.750 [2 per cell]

=====

# 14
ReHg2Ru | PBE | optimized geometry

**Offset from the most stable computed form**: 0.2549 eV/atom
**Crystal system**: orthorhombic

Cell lengths 2.885, 4.977, 10.317 Å; angles 90.00, 90.00, 90.00 degrees
Space group Cmm2 (No. 35)
Unique sites:
Re: 0.000 0.000 0.000 [2 per cell]
Hg: 0.000 0.000 0.550 [2 per cell]
Hg: 0.000 0.500 0.258 [2 per cell]
Ru: 0.000 0.500 0.800 [2 per cell]

=====

# 15
ReHg2Ru | PBE | optimized geometry

**Offset from the most stable computed form**: 0.3936 eV/atom
**Crystal system**: orthorhombic

Cell lengths 2.835, 4.875, 10.764 Å; angles 90.00, 90.00, 90.00 degrees
Space group Imm2 (No. 44)
Unique sites:
Re: 0.000 0.000 0.000 [2 per cell]
Hg: 0.000 0.000 0.447 [2 per cell]
Hg: 0.000 0.500 0.241 [2 per cell]
Ru: 0.000 0.500 0.689 [2 per cell]

=====

no.,DOS at the Fermi energy (states/eV per cell),E_tot (eV/atom),DFT formation energy (meV per atom)
1,7.849,-7.942,676
2,5.328,-7.369,456
3,4.123,-8.070,548
4,8.675,-7.264,562
5,8.654,-4.598,984
6,7.578,-4.766,816
7,8.145,-8.045,573
8,14.039,-7.860,758
9,7.208,-5.214,368
10,19.637,-4.540,1042
11,6.175,-7.918,701
12,2.706,-5.266,316
13,8.318,-4.687,895
14,7.769,-5.011,571
15,5.460,-4.872,710